(1)
Below is a relaxed structure of Tm8TlRu2, with properties calculated at the PBE level.

The space group is Imm2 (No. 44) and the conventional cell measures 5.1978, 15.7165 and 6.8666 Å, with angles of 90.00, 90.00 and 90.00 degrees. The distinct sites, in fractional coordinates, are Tm at (0.0000, 0.0000, 0.0000), Tm at (0.0000, 0.1111, 0.4591), Tm at (0.0000, 0.2881, 0.1338), Tm at (0.0000, 0.3310, 0.5930), Tm at (0.0000, 0.5000, 0.2256), Tl at (0.0000, 0.5000, 0.7951) and Ru at (0.0000, 0.1708, 0.8269).

The value obtained for the calculated formation energy is -260.3 meV per atom.

=====

(2)
Below is a relaxed structure of Tm5Tl2Ru2, with properties calculated at the PBE level.

The space group is Cmce (No. 64) and the conventional cell measures 16.3650, 7.4237 and 7.4481 Å, with angles of 90.00, 90.00 and 90.00 degrees. The distinct sites, in fractional coordinates, are Tm at (0.0000, 0.0000, 0.0000), Tm at (0.1145, 0.1713, 0.3312), Tl at (0.2218, 0.0000, 0.0000) and Ru at (0.0000, 0.1298, 0.6321).

The value obtained for the calculated formation energy is -393.3 meV per atom.

=====

(3)
Below is a relaxed structure of Tm7Tl2Ru2, with properties calculated at the PBE level.

The space group is Cmmm (No. 65) and the conventional cell measures 8.0007, 10.7589 and 7.0726 Å, with angles of 90.00, 90.00 and 90.00 degrees. The distinct sites, in fractional coordinates, are Tm at (0.0000, 0.0000, 0.0000), Tm at (0.0000, 0.5000, 0.2380), Tm at (0.2500, 0.2500, 0.2473), Tl at (0.1842, 0.0000, 0.5000) and Ru at (0.0000, 0.2928, 0.0000).

The value obtained for the calculated formation energy is -235.8 meV per atom.

=====

(4)
Below is a relaxed structure of YTmTlRu, with properties calculated at the PBE level.

The space group is F-43m (No. 216) and the conventional cell measures 7.1476, 7.1476 and 7.1476 Å, with angles of 90.00, 90.00 and 90.00 degrees. The distinct sites, in fractional coordinates, are Y at (0.0000, 0.0000, 0.0000), Tm at (0.0000, 0.0000, 0.5000), Tl at (0.2500, 0.2500, 0.2500) and Ru at (0.2500, 0.2500, 0.7500).

The value obtained for the calculated formation energy is -268.8 meV per atom.

=====

(5)
Below is a relaxed structure of TmZrTlRu, with properties calculated at the PBE level.

The space group is P4mm (No. 99) and the conventional cell measures 3.3145, 3.3145 and 7.8573 Å, with angles of 90.00, 90.00 and 90.00 degrees. The distinct sites, in fractional coordinates, are Tm at (0.0000, 0.0000, 0.0000), Zr at (0.0000, 0.0000, 0.4213), Tl at (0.5000, 0.5000, 0.6998) and Ru at (0.5000, 0.5000, 0.2253).

The value obtained for the calculated formation energy is -382.7 meV per atom.

=====

(6)
Below is a relaxed structure of TlVRu2, with properties calculated at the PBE level.

The space group is P4/mmm (No. 123) and the conventional cell measures 3.0506, 3.0506 and 6.8300 Å, with angles of 90.00, 90.00 and 90.00 degrees. The distinct sites, in fractional coordinates, are Tl at (0.0000, 0.0000, 0.0000), V at (0.0000, 0.0000, 0.5000) and Ru at (0.5000, 0.5000, 0.2930).

The value obtained for the calculated formation energy is 81.1 meV per atom.

=====

(7)
Below is a relaxed structure of TlVRu2, with properties calculated at the PBE level.

The space group is Fm-3m (No. 225) and the conventional cell measures 6.3038, 6.3038 and 6.3038 Å, with angles of 90.00, 90.00 and 90.00 degrees. The distinct sites, in fractional coordinates, are Tl at (0.0000, 0.0000, 0.0000), V at (0.0000, 0.0000, 0.5000) and Ru at (0.2500, 0.2500, 0.2500).

The value obtained for the calculated formation energy is 215.1 meV per atom.

=====

(8)
Below is a relaxed structure of Tl2VRu, with properties calculated at the PBE level.

The space group is Fm-3m (No. 225) and the conventional cell measures 6.6801, 6.6801 and 6.6801 Å, with angles of 90.00, 90.00 and 90.00 degrees. The distinct sites, in fractional coordinates, are Tl at (0.2500, 0.2500, 0.2500), V at (0.0000, 0.0000, 0.0000) and Ru at (0.0000, 0.0000, 0.5000).

The value obtained for the calculated formation energy is 581.7 meV per atom.

=====

Results for E: -119.107; -196.724; -114.358; -94.612; -26.193; -29.712; -116.705; -83.201 (in eV/cell, following the order of the records).
Results for total magnetic moment: 0.00; 0.00; 0.00; 0.00; 0.00; 0.00; 0.00; 2.33 (in μB/f.u., following the order of the records).